# 1
Material: AgP2Ir
Method: DFT, PBE
State: relaxed

Lattice parameters (Å, degrees): 6.263 6.263 6.263 90.00 90.00 90.00
Space group F-43m (No. 216)
Inequivalent atoms, fractional coordinates:
Ag1 0.000 0.000 0.000
P1 0.000 0.000 0.500
P2 0.250 0.250 0.750
Ir1 0.250 0.250 0.250

Summary:
energy above the lowest structure with this stoichiometry = 0.7775 eV/atom
energy relative to the elements = 0.730 eV per atom


# 2
Material: Ba3CaCo
Method: DFT, PBE
State: relaxed

Lattice parameters (Å, degrees): 6.304 6.304 6.304 90.00 90.00 90.00
Space group Pm-3m (No. 221)
Inequivalent atoms, fractional coordinates:
Ba1 0.000 0.000 0.500
Ca1 0.000 0.000 0.000
Co1 0.500 0.500 0.500

Summary:
energy relative to the elements = 1.263 eV per atom


# 3
Material: TaNi4W
Method: DFT, PBE
State: relaxed

Lattice parameters (Å, degrees): 6.719 6.719 6.719 90.00 90.00 90.00
Space group F-43m (No. 216)
Inequivalent atoms, fractional coordinates:
Ta1 0.000 0.000 0.000
Ni1 0.125 0.125 0.625
W1 0.250 0.250 0.250

Summary:
energy relative to the elements = -0.114 eV per atom


# 4
Material: AcPmO4
Method: DFT, PBE
State: relaxed

Lattice parameters (Å, degrees): 4.254 4.254 5.347 90.00 90.00 90.00
Space group P4/mmm (No. 123)
Inequivalent atoms, fractional coordinates:
Ac1 0.000 0.000 0.000
Pm1 0.500 0.500 0.500
O1 0.000 0.500 0.269

Summary:
energy above the lowest structure with this stoichiometry = 0.1902 eV/atom
E_form (uncorrected) = -2.6511 eV/atom


# 5
Material: HgHOs2O8
Method: DFT, PBE
State: relaxed

Lattice parameters (Å, degrees): 12.626 5.246 7.853 90.00 114.49 90.00
Space group C2/m (No. 12)
Inequivalent atoms, fractional coordinates:
Hg1 0.000 0.000 0.000
H1 0.000 0.500 0.500
Os1 0.170 0.000 0.647
O1 0.091 0.270 0.657
O2 0.183 0.000 0.435
O3 0.193 0.500 0.172

Summary:
total energy = -6.0734 eV/atom


# 6
Material: Nd4Tl3
Method: DFT, PBE
State: relaxed

Lattice parameters (Å, degrees): 5.4450 5.4450 26.5256 90.00 90.00 120.00
Space group R-3m (No. 166, hexagonal axes)
Inequivalent atoms, fractional coordinates:
Nd1 0.0000 0.0000 0.1192
Nd2 0.0000 0.0000 0.3715
Tl1 0.0000 0.0000 0.2499
Tl2 0.0000 0.0000 0.5000

Summary:
energy above the lowest structure with this stoichiometry = 0.0723 eV/atom
energy relative to the elements = -0.241 eV per atom


# 7
Material: Ce2HoCo
Method: DFT, PBE
State: relaxed

Lattice parameters (Å, degrees): 3.537 3.537 7.757 90.00 90.00 90.00
Space group P4/mmm (No. 123)
Inequivalent atoms, fractional coordinates:
Ce1 0.000 0.000 0.183
Ho1 0.500 0.500 0.500
Co1 0.500 0.500 0.000

Summary:
energy above the lowest structure with this stoichiometry = 0.1421 eV/atom
energy relative to the elements = 0.008 eV per atom


# 8
Material: BeCN2
Method: DFT, PBE
State: relaxed

Lattice parameters (Å, degrees): 6.342 2.521 4.561 90.00 131.96 90.00
Space group Cm (No. 8)
Inequivalent atoms, fractional coordinates:
Be1 0.000 0.000 0.000
C1 0.382 0.000 0.402
N1 0.016 0.000 0.401
N2 0.349 0.000 0.692

Summary:
E_form (uncorrected) = 0.2365 eV/atom


# 9
Material: TlZnInSe3
Method: DFT, PBE
State: relaxed

Lattice parameters (Å, degrees): 9.021 3.995 9.769 90.00 105.11 90.00
Space group P2_1/m (No. 11)
Inequivalent atoms, fractional coordinates:
Tl1 0.201 0.250 0.240
Zn1 0.085 0.250 0.603
In1 0.339 0.750 0.884
Se1 0.125 0.250 0.864
Se2 0.204 0.750 0.520
Se3 0.468 0.750 0.169

Summary:
E_form (uncorrected) = -0.5400 eV/atom


# 10
Material: KCa3V
Method: DFT, PBE
State: relaxed

Lattice parameters (Å, degrees): 6.055 6.055 6.055 90.00 90.00 90.00
Space group Pm-3m (No. 221)
Inequivalent atoms, fractional coordinates:
K1 0.000 0.000 0.000
Ca1 0.000 0.000 0.500
V1 0.500 0.500 0.500

Summary:
energy above the lowest structure with this stoichiometry = 0.9164 eV/atom
energy relative to the elements = 1.446 eV per atom


# 11
Material: Al2InTc
Method: DFT, PBE
State: relaxed

Lattice parameters (Å, degrees): 9.208 3.409 4.552 90.00 109.96 90.00
Space group C2/m (No. 12)
Inequivalent atoms, fractional coordinates:
Al1 0.234 0.000 0.211
In1 0.000 0.000 0.500
Tc1 0.000 0.500 0.000

Summary:
energy relative to the elements = -0.034 eV per atom


# 12
Material: Rb2PPtAu
Method: DFT, PBE
State: relaxed

Lattice parameters (Å, degrees): 6.634 6.634 4.357 90.00 90.00 90.00
Space group P4/mmm (No. 123)
Inequivalent atoms, fractional coordinates:
Rb1 0.000 0.500 0.000
P1 0.000 0.000 0.500
Pt1 0.000 0.000 0.000
Au1 0.500 0.500 0.500

Summary:
energy above the lowest structure with this stoichiometry = 0.0000 eV/atom
energy relative to the elements = -0.244 eV per atom


# 13
Material: Ca2ScAgN
Method: DFT, PBE
State: relaxed

Lattice parameters (Å, degrees): 5.006 5.006 4.298 90.00 90.00 90.00
Space group P4/mmm (No. 123)
Inequivalent atoms, fractional coordinates:
Ca1 0.000 0.500 0.000
Sc1 0.000 0.000 0.500
Ag1 0.500 0.500 0.500
N1 0.000 0.000 0.000

Summary:
E_form (uncorrected) = -0.6475 eV/atom


no.,magnetization (μB per cell),volume (Å³ per atom)
1,0.00,15.4
2,2.91,50.1
3,2.14,12.6
4,2.03,16.1
5,0.00,19.7
6,0.00,32.4
7,0.00,24.3
8,0.00,6.8
9,0.00,28.3
10,4.86,44.4
11,0.00,16.8
12,0.00,38.4
13,0.01,21.5